Record 1
Material: SrTa2Fe
Method: DFT, PBE
State: optimized geometry

Results
symmetry: P4/mmm
D(E_F): 1.873 states/eV/atom
total DFT energy (no corrections): -7.361 eV/atom
M_tot: 2.0 μB/f.u.
formation energy: 1.1015 eV/atom
excess energy over the best structure of this formula in the dataset: 14.82 kcal/mol of atoms

Geometry as POSCAR:
```
SrTa2Fe
1.0
-0.687 1.249 4.908
3.640 -1.454 0.879
1.611 3.614 -0.694
Ta Sr Fe
2 1 1
direct
0.000 0.500 0.500
0.000 0.000 0.000
0.500 0.000 0.500
0.500 0.500 0.000
```

***

Record 2
Material: Sr3TaFe
Method: DFT, PBE
State: optimized geometry

Results
symmetry: Pm-3m
D(E_F): 3.346 states/eV/atom
total DFT energy (no corrections): -3.489 eV/atom
M_tot: 4.3 μB/f.u.
formation energy: 1.5833 eV/atom
excess energy over the best structure of this formula in the dataset: 4.21 kcal/mol of atoms

Geometry as POSCAR:
```
Sr3TaFe
1.0
5.913 0.000 0.000
0.000 5.913 0.000
0.000 0.000 5.913
Ta Sr Fe
1 3 1
direct
0.000 0.000 0.000
0.000 0.500 0.000
0.500 0.000 0.000
0.000 0.000 0.500
0.500 0.500 0.500
```

***

Record 3
Material: Sr2TaFe
Method: DFT, PBE
State: optimized geometry

Results
symmetry: Fm-3m
D(E_F): 3.853 states/eV/atom
total DFT energy (no corrections): -4.301 eV/atom
M_tot: 0.0 μB/f.u.
formation energy: 1.6186 eV/atom
excess energy over the best structure of this formula in the dataset: 27.05 kcal/mol of atoms

Geometry as POSCAR:
```
Sr2TaFe
1.0
0.000 3.728 3.728
3.728 0.000 3.728
3.728 3.728 0.000
Fe Sr Ta
1 2 1
direct
0.000 0.000 0.000
0.750 0.750 0.750
0.250 0.250 0.250
0.500 0.500 0.500
```